[1]
# Ac12Sb5N3, relaxed, DFT PBE
# M_tot ... 33.5 μB per cell
# E_form (uncorrected) ... -0.09 eV per atom
# Density of states at the Fermi level ... 140.84 states/eV/cell
data_Ac12Sb5N3
_chemical_formula_sum 'Ac96 Sb40 N24'
_cell_length_a 18.451
_cell_length_b 18.451
_cell_length_c 18.451
_cell_angle_alpha 90.00
_cell_angle_beta 90.00
_cell_angle_gamma 90.00
_space_group_name_H-M_alt 'I a -3 d'
_space_group_IT_number 230
_space_group_name_Hall '-I 4bd 2c 3'
loop_
_atom_site_label
_atom_site_type_symbol
_atom_site_fract_x
_atom_site_fract_y
_atom_site_fract_z
Ac1 Ac 0.020 0.107 0.641
Sb1 Sb 0.000 0.000 0.000
Sb2 Sb 0.000 0.250 0.375
N1 N 0.000 0.250 0.125


[2]
# AcSbN, relaxed, DFT PBE
# Offset from the most stable computed form ... 0.000 eV/atom
# M_tot ... 0.6 μB per cell
# E_form (uncorrected) ... -0.65 eV per atom
# Density of states at the Fermi level ... 4.91 states/eV/cell
data_AcSbN
_chemical_formula_sum 'Ac2 Sb2 N2'
_cell_length_a 4.254
_cell_length_b 4.254
_cell_length_c 9.030
_cell_angle_alpha 90.00
_cell_angle_beta 90.00
_cell_angle_gamma 90.00
_space_group_name_H-M_alt 'P 4/n m m'
_space_group_IT_number 129
loop_
_space_group_symop_operation_xyz
'x,y,z'
'-x,-y,-z'
'-y+1/2,x,z'
'y+1/2,-x,-z'
'-x+1/2,-y+1/2,z'
'x+1/2,y+1/2,-z'
'y,-x+1/2,z'
'-y,x+1/2,-z'
'x+1/2,-y,-z'
'-x+1/2,y,z'
'-y,-x,-z'
'y,x,z'
'-x,y+1/2,-z'
'x,-y+1/2,z'
'y+1/2,x+1/2,-z'
'-y+1/2,-x+1/2,z'
loop_
_atom_site_label
_atom_site_type_symbol
_atom_site_fract_x
_atom_site_fract_y
_atom_site_fract_z
Ac1 Ac 0.250 0.250 0.138
Sb1 Sb 0.250 0.250 0.554
N1 N 0.250 0.750 0.000


[3]
# Ac3SbN2, relaxed, DFT PBE
# Offset from the most stable computed form ... 0.067 eV/atom
# M_tot ... 0.0 μB per cell
# E_form (uncorrected) ... -1.06 eV per atom
# Density of states at the Fermi level ... 2.27 states/eV/cell
data_Ac3SbN2
_chemical_formula_sum 'Ac12 Sb4 N8'
_cell_length_a 23.820
_cell_length_b 4.515
_cell_length_c 7.269
_cell_angle_alpha 90.00
_cell_angle_beta 105.27
_cell_angle_gamma 90.00
_space_group_name_H-M_alt 'C 1 2/m 1'
_space_group_IT_number 12
loop_
_space_group_symop_operation_xyz
'x,y,z'
'-x,-y,-z'
'-x,y,-z'
'x,-y,z'
'x+1/2,y+1/2,z'
'-x+1/2,-y+1/2,-z'
'-x+1/2,y+1/2,-z'
'x+1/2,-y+1/2,z'
loop_
_atom_site_label
_atom_site_type_symbol
_atom_site_fract_x
_atom_site_fract_y
_atom_site_fract_z
Ac1 Ac 0.047 0.000 0.247
Ac2 Ac 0.103 0.500 0.855
Ac3 Ac 0.227 0.000 0.186
Sb1 Sb 0.145 0.500 0.433
N1 N 0.060 0.000 0.933
N2 N 0.202 0.500 0.004


[4]
# Ac3SbN, relaxed, DFT PBE
# Offset from the most stable computed form ... 0.059 eV/atom
# M_tot ... 0.0 μB per cell
# E_form (uncorrected) ... -0.82 eV per atom
# Density of states at the Fermi level ... 2.41 states/eV/cell
data_Ac3SbN
_chemical_formula_sum 'Ac3 Sb1 N1'
_cell_length_a 5.302
_cell_length_b 5.302
_cell_length_c 5.302
_cell_angle_alpha 90.00
_cell_angle_beta 90.00
_cell_angle_gamma 90.00
_space_group_name_H-M_alt 'P m -3 m'
_space_group_IT_number 221
_space_group_name_Hall '-P 4 2 3'
loop_
_atom_site_label
_atom_site_type_symbol
_atom_site_fract_x
_atom_site_fract_y
_atom_site_fract_z
Ac1 Ac 0.000 0.000 0.500
Sb1 Sb 0.500 0.500 0.500
N1 N 0.000 0.000 0.000


[5]
# Ac3SbN, relaxed, DFT PBE
# Offset from the most stable computed form ... 0.000 eV/atom
# M_tot ... 0.0 μB per cell
# E_form (uncorrected) ... -0.88 eV per atom
# Density of states at the Fermi level ... 5.88 states/eV/cell
data_Ac3SbN
_chemical_formula_sum 'Ac6 Sb2 N2'
_cell_length_a 5.032
_cell_length_b 5.041
_cell_length_c 13.421
_cell_angle_alpha 90.00
_cell_angle_beta 100.81
_cell_angle_gamma 90.00
_space_group_name_H-M_alt 'P 1 21/m 1'
_space_group_IT_number 11
loop_
_space_group_symop_operation_xyz
'x,y,z'
'-x,-y,-z'
'-x,y+1/2,-z'
'x,-y+1/2,z'
loop_
_atom_site_label
_atom_site_type_symbol
_atom_site_fract_x
_atom_site_fract_y
_atom_site_fract_z
Ac1 Ac 0.070 0.250 0.140
Ac2 Ac 0.309 0.750 0.618
Ac3 Ac 0.425 0.250 0.849
Sb1 Sb 0.174 0.750 0.349
N1 N 0.401 0.750 0.801


[6]
# Ac4SbN2, relaxed, DFT PBE
# M_tot ... 3.5 μB per cell
# E_form (uncorrected) ... -0.87 eV per atom
# Density of states at the Fermi level ... 18.78 states/eV/cell
data_Ac4SbN2
_chemical_formula_sum 'Ac16 Sb4 N8'
_cell_length_a 10.563
_cell_length_b 10.563
_cell_length_c 8.109
_cell_angle_alpha 90.00
_cell_angle_beta 90.00
_cell_angle_gamma 90.00
_space_group_name_H-M_alt 'I -4 2 d'
_space_group_IT_number 122
_space_group_name_Hall 'I -4 2bw'
loop_
_atom_site_label
_atom_site_type_symbol
_atom_site_fract_x
_atom_site_fract_y
_atom_site_fract_z
Ac1 Ac 0.060 0.199 0.363
Sb1 Sb 0.000 0.000 0.000
N1 N 0.053 0.750 0.625


[7]
# AcSbN, relaxed, DFT PBE
# Offset from the most stable computed form ... 0.127 eV/atom
# M_tot ... 0.0 μB per cell
# E_form (uncorrected) ... -0.53 eV per atom
# Density of states at the Fermi level ... 2.70 states/eV/cell
data_AcSbN
_chemical_formula_sum 'Ac2 Sb2 N2'
_cell_length_a 3.784
_cell_length_b 3.784
_cell_length_c 11.525
_cell_angle_alpha 90.00
_cell_angle_beta 90.00
_cell_angle_gamma 90.00
_space_group_name_H-M_alt 'I 4 m m'
_space_group_IT_number 107
_space_group_name_Hall 'I 4 -2'
loop_
_atom_site_label
_atom_site_type_symbol
_atom_site_fract_x
_atom_site_fract_y
_atom_site_fract_z
Ac1 Ac 0.000 0.000 0.000
Sb1 Sb 0.000 0.000 0.307
N1 N 0.000 0.000 0.495


[8]
# Ac3Sb3N, relaxed, DFT PBE
# M_tot ... 0.0 μB per cell
# E_form (uncorrected) ... -1.03 eV per atom
# Density of states at the Fermi level ... 8.34 states/eV/cell
data_Ac3Sb3N
_chemical_formula_sum 'Ac12 Sb12 N4'
_cell_length_a 8.426
_cell_length_b 11.925
_cell_length_c 9.297
_cell_angle_alpha 90.00
_cell_angle_beta 102.61
_cell_angle_gamma 90.00
_space_group_name_H-M_alt 'C 1 2/m 1'
_space_group_IT_number 12
loop_
_space_group_symop_operation_xyz
'x,y,z'
'-x,-y,-z'
'-x,y,-z'
'x,-y,z'
'x+1/2,y+1/2,z'
'-x+1/2,-y+1/2,-z'
'-x+1/2,y+1/2,-z'
'x+1/2,-y+1/2,z'
loop_
_atom_site_label
_atom_site_type_symbol
_atom_site_fract_x
_atom_site_fract_y
_atom_site_fract_z
Ac1 Ac 0.155 0.000 0.382
Ac2 Ac 0.224 0.334 0.238
Sb1 Sb 0.000 0.121 0.000
Sb2 Sb 0.000 0.301 0.500
Sb3 Sb 0.133 0.500 0.924
N1 N 0.153 0.000 0.644


[9]
# Ac3SbN, relaxed, DFT PBE
# Offset from the most stable computed form ... 0.220 eV/atom
# M_tot ... 0.0 μB per cell
# E_form (uncorrected) ... -0.66 eV per atom
# Density of states at the Fermi level ... 19.80 states/eV/cell
data_Ac3SbN
_chemical_formula_sum 'Ac12 Sb4 N4'
_cell_length_a 12.661
_cell_length_b 7.311
_cell_length_c 8.112
_cell_angle_alpha 90.00
_cell_angle_beta 121.46
_cell_angle_gamma 90.00
_space_group_name_H-M_alt 'C 1 m 1'
_space_group_IT_number 8
loop_
_space_group_symop_operation_xyz
'x,y,z'
'x,-y,z'
'x+1/2,y+1/2,z'
'x+1/2,-y+1/2,z'
loop_
_atom_site_label
_atom_site_type_symbol
_atom_site_fract_x
_atom_site_fract_y
_atom_site_fract_z
Ac1 Ac 0.000 0.000 0.000
Ac2 Ac 0.083 0.253 0.475
Ac3 Ac 0.260 0.260 0.000
Ac4 Ac 0.331 0.500 0.475
Sb1 Sb 0.028 0.500 0.064
Sb2 Sb 0.309 0.000 0.404
N1 N 0.255 0.500 0.744
N2 N 0.422 0.500 0.244


[10]
# Ac4Sb2SeN2, relaxed, DFT PBE
# M_tot ... 0.0 μB per cell
# E_form (uncorrected) ... -1.30 eV per atom
# Density of states at the Fermi level ... 2.67 states/eV/cell
data_Ac4Sb2SeN2
_chemical_formula_sum 'Ac8 Sb4 Se2 N4'
_cell_length_a 16.903
_cell_length_b 4.483
_cell_length_c 9.037
_cell_angle_alpha 90.00
_cell_angle_beta 119.77
_cell_angle_gamma 90.00
_space_group_name_H-M_alt 'C 1 2/m 1'
_space_group_IT_number 12
loop_
_space_group_symop_operation_xyz
'x,y,z'
'-x,-y,-z'
'-x,y,-z'
'x,-y,z'
'x+1/2,y+1/2,z'
'-x+1/2,-y+1/2,-z'
'-x+1/2,y+1/2,-z'
'x+1/2,-y+1/2,z'
loop_
_atom_site_label
_atom_site_type_symbol
_atom_site_fract_x
_atom_site_fract_y
_atom_site_fract_z
Ac1 Ac 0.021 0.000 0.272
Ac2 Ac 0.227 0.500 0.642
Sb1 Sb 0.098 0.500 0.066
Se1 Se 0.000 0.500 0.500
N1 N 0.177 0.000 0.487


[11]
# AcSm2SbN4, relaxed, DFT PBE
# M_tot ... 0.0 μB per cell
# E_form (uncorrected) ... -0.70 eV per atom
# Density of states at the Fermi level ... 13.48 states/eV/cell
data_AcSm2SbN4
_chemical_formula_sum 'Ac4 Sm8 Sb4 N16'
_cell_length_a 3.835
_cell_length_b 12.164
_cell_length_c 12.156
_cell_angle_alpha 90.00
_cell_angle_beta 90.00
_cell_angle_gamma 90.00
_space_group_name_H-M_alt 'C m c m'
_space_group_IT_number 63
_space_group_name_Hall '-C 2c 2'
loop_
_atom_site_label
_atom_site_type_symbol
_atom_site_fract_x
_atom_site_fract_y
_atom_site_fract_z
Ac1 Ac 0.000 0.102 0.250
Sm1 Sm 0.000 0.372 0.039
Sb1 Sb 0.000 0.158 0.750
N1 N 0.000 0.000 0.000
N2 N 0.000 0.277 0.627
N3 N 0.000 0.422 0.250


[12]
# Ac4Sm2Sb3N2, relaxed, DFT PBE
# M_tot ... 0.0 μB per cell
# E_form (uncorrected) ... -1.01 eV per atom
# Density of states at the Fermi level ... 5.94 states/eV/cell
data_Ac4Sm2Sb3N2
_chemical_formula_sum 'Ac8 Sm4 Sb6 N4'
_cell_length_a 5.036
_cell_length_b 5.036
_cell_length_c 26.761
_cell_angle_alpha 90.00
_cell_angle_beta 90.00
_cell_angle_gamma 90.00
_space_group_name_H-M_alt 'I 4/m m m'
_space_group_IT_number 139
_space_group_name_Hall '-I 4 2'
loop_
_atom_site_label
_atom_site_type_symbol
_atom_site_fract_x
_atom_site_fract_y
_atom_site_fract_z
Ac1 Ac 0.000 0.500 0.085
Sm1 Sm 0.000 0.000 0.195
Sb1 Sb 0.000 0.000 0.318
Sb2 Sb 0.000 0.000 0.500
N1 N 0.000 0.000 0.112


[13]
# AcSnSbN, relaxed, DFT PBE
# M_tot ... 0.0 μB per cell
# E_form (uncorrected) ... -0.38 eV per atom
# Density of states at the Fermi level ... 2.92 states/eV/cell
data_AcSnSbN
_chemical_formula_sum 'Ac2 Sn2 Sb2 N2'
_cell_length_a 3.846
_cell_length_b 3.846
_cell_length_c 13.483
_cell_angle_alpha 90.00
_cell_angle_beta 90.00
_cell_angle_gamma 90.00
_space_group_name_H-M_alt 'I 4 m m'
_space_group_IT_number 107
_space_group_name_Hall 'I 4 -2'
loop_
_atom_site_label
_atom_site_type_symbol
_atom_site_fract_x
_atom_site_fract_y
_atom_site_fract_z
Ac1 Ac 0.000 0.000 0.000
Sn1 Sn 0.000 0.000 0.681
Sb1 Sb 0.000 0.000 0.334
N1 N 0.000 0.000 0.504


[14]
# Ac4SnSbN, relaxed, DFT PBE
# M_tot ... 3.2 μB per cell
# E_form (uncorrected) ... -0.86 eV per atom
# Density of states at the Fermi level ... 23.96 states/eV/cell
data_Ac4SnSbN
_chemical_formula_sum 'Ac16 Sn4 Sb4 N4'
_cell_length_a 7.219
_cell_length_b 18.233
_cell_length_c 7.173
_cell_angle_alpha 90.00
_cell_angle_beta 90.00
_cell_angle_gamma 90.00
_space_group_name_H-M_alt 'C m c m'
_space_group_IT_number 63
_space_group_name_Hall '-C 2c 2'
loop_
_atom_site_label
_atom_site_type_symbol
_atom_site_fract_x
_atom_site_fract_y
_atom_site_fract_z
Ac1 Ac 0.000 0.071 0.250
Ac2 Ac 0.000 0.418 0.250
Ac3 Ac 0.250 0.250 0.000
Sn1 Sn 0.000 0.113 0.750
Sb1 Sb 0.000 0.388 0.750
N1 N 0.000 0.281 0.250


[15]
# Sr3AcSb2N, relaxed, DFT PBE
# M_tot ... 0.0 μB per cell
# E_form (uncorrected) ... -1.06 eV per atom
# Density of states at the Fermi level ... 0.75 states/eV/cell
data_Sr3AcSb2N
_chemical_formula_sum 'Sr6 Ac2 Sb4 N2'
_cell_length_a 5.143
_cell_length_b 5.152
_cell_length_c 17.270
_cell_angle_alpha 90.00
_cell_angle_beta 90.00
_cell_angle_gamma 90.00
_space_group_name_H-M_alt 'I m m m'
_space_group_IT_number 71
_space_group_name_Hall '-I 2 2'
loop_
_atom_site_label
_atom_site_type_symbol
_atom_site_fract_x
_atom_site_fract_y
_atom_site_fract_z
Sr1 Sr 0.000 0.000 0.000
Sr2 Sr 0.000 0.500 0.167
Ac1 Ac 0.000 0.000 0.500
Sb1 Sb 0.000 0.500 0.362
N1 N 0.000 0.500 0.000


[16]
# AcUSbN2, relaxed, DFT PBE
# M_tot ... 0.6 μB per cell
# E_form (uncorrected) ... -1.24 eV per atom
# Density of states at the Fermi level ... 7.48 states/eV/cell
data_AcUSbN2
_chemical_formula_sum 'Ac4 U4 Sb4 N8'
_cell_length_a 5.914
_cell_length_b 12.874
_cell_length_c 5.719
_cell_angle_alpha 90.00
_cell_angle_beta 90.00
_cell_angle_gamma 90.00
_space_group_name_H-M_alt 'C m c m'
_space_group_IT_number 63
_space_group_name_Hall '-C 2c 2'
loop_
_atom_site_label
_atom_site_type_symbol
_atom_site_fract_x
_atom_site_fract_y
_atom_site_fract_z
Ac1 Ac 0.000 0.109 0.250
U1 U 0.000 0.426 0.250
Sb1 Sb 0.000 0.250 0.750
N1 N 0.216 0.500 0.000


[17]
# AcScN2, relaxed, DFT PBE
# M_tot ... 2.5 μB per cell
# E_form (uncorrected) ... -0.46 eV per atom
# Density of states at the Fermi level ... 10.01 states/eV/cell
data_AcScN2
_chemical_formula_sum 'Ac3 Sc3 N6'
_cell_length_a 3.5601
_cell_length_b 3.5601
_cell_length_c 19.8969
_cell_angle_alpha 90.00
_cell_angle_beta 90.00
_cell_angle_gamma 120.00
_space_group_name_H-M_alt 'R -3 m'
_space_group_IT_number 166
_space_group_name_Hall '-R 3 2"'
loop_
_atom_site_label
_atom_site_type_symbol
_atom_site_fract_x
_atom_site_fract_y
_atom_site_fract_z
Ac1 Ac 0.0000 0.0000 0.0000
Sc1 Sc 0.0000 0.0000 0.5000
N1 N 0.0000 0.0000 0.1145


[18]
# AcSc2N, relaxed, DFT PBE
# Offset from the most stable computed form ... 0.000 eV/atom
# M_tot ... 0.0 μB per cell
# E_form (uncorrected) ... -0.68 eV per atom
# Density of states at the Fermi level ... 12.65 states/eV/cell
data_AcSc2N
_chemical_formula_sum 'Ac3 Sc6 N3'
_cell_length_a 3.3474
_cell_length_b 3.3474
_cell_length_c 27.9911
_cell_angle_alpha 90.00
_cell_angle_beta 90.00
_cell_angle_gamma 120.00
_space_group_name_H-M_alt 'R -3 m'
_space_group_IT_number 166
_space_group_name_Hall '-R 3 2"'
loop_
_atom_site_label
_atom_site_type_symbol
_atom_site_fract_x
_atom_site_fract_y
_atom_site_fract_z
Ac1 Ac 0.0000 0.0000 0.0000
Sc1 Sc 0.0000 0.0000 0.1245
N1 N 0.0000 0.0000 0.5000


[19]
# Ac2ScN, relaxed, DFT PBE
# M_tot ... 0.0 μB per cell
# E_form (uncorrected) ... -0.22 eV per atom
# Density of states at the Fermi level ... 13.99 states/eV/cell
data_Ac2ScN
_chemical_formula_sum 'Ac6 Sc3 N3'
_cell_length_a 3.6893
_cell_length_b 3.6893
_cell_length_c 30.0770
_cell_angle_alpha 90.00
_cell_angle_beta 90.00
_cell_angle_gamma 120.00
_space_group_name_H-M_alt 'R -3 m'
_space_group_IT_number 166
_space_group_name_Hall '-R 3 2"'
loop_
_atom_site_label
_atom_site_type_symbol
_atom_site_fract_x
_atom_site_fract_y
_atom_site_fract_z
Ac1 Ac 0.0000 0.0000 0.1151
Sc1 Sc 0.0000 0.0000 0.0000
N1 N 0.0000 0.0000 0.5000


[20]
# AcSc2N, relaxed, DFT PBE
# Offset from the most stable computed form ... 0.653 eV/atom
# M_tot ... 0.2 μB per cell
# E_form (uncorrected) ... -0.03 eV per atom
# Density of states at the Fermi level ... 4.98 states/eV/cell
data_AcSc2N
_chemical_formula_sum 'Ac1 Sc2 N1'
_cell_length_a 3.138
_cell_length_b 3.138
_cell_length_c 8.355
_cell_angle_alpha 90.00
_cell_angle_beta 90.00
_cell_angle_gamma 90.00
_space_group_name_H-M_alt 'P 4/m m m'
_space_group_IT_number 123
_space_group_name_Hall '-P 4 2'
loop_
_atom_site_label
_atom_site_type_symbol
_atom_site_fract_x
_atom_site_fract_y
_atom_site_fract_z
Ac1 Ac 0.000 0.000 0.000
Sc1 Sc 0.500 0.500 0.348
N1 N 0.000 0.000 0.500